14
Lattice="4.310 0.000 0.000 0.000 4.310 0.000 0.000 0.000 11.644" Properties=species:S:1:pos:R:3 comment="V4Co2Si, relaxed, DFT PBE" dos_at_fermi_per_ev_fu=7.9 raw_formation_energy_ev_per_atom=0.742 space_group="No. 139" pbc="T T T"
V 0.000 0.000 2.345
V 0.000 0.000 9.299
V 0.000 2.155 0.000
V 0.000 2.155 5.822
V 2.155 0.000 0.000
V 2.155 0.000 5.822
V 2.155 2.155 3.477
V 2.155 2.155 8.167
Co 0.000 0.000 4.484
Co 0.000 0.000 7.161
Co 2.155 2.155 1.339
Co 2.155 2.155 10.306
Si 0.000 0.000 0.000
Si 2.155 2.155 5.822